Entry 1:
Density functional theory data (PBE) for a geometry-optimized AlFeTe2 structure.

Unit cell a=5.4922 b=5.4922 c=5.4922 alpha=138.94 beta=105.82 gamma=88.47
Atoms (fractional coordinates):
Te: 0.0254 0.0254 0.0000
Te: 0.4746 0.4746 0.0000
Fe: 0.2500 0.7500 0.5000
Al: 0.7500 0.2500 0.5000

Summary:
E_form (uncorrected) = 34 kJ per mole of atoms
crystal system = orthorhombic
N(E_F) = 4.566 states/eV/cell


Entry 2:
Density functional theory data (PBE) for a geometry-optimized SmY2TlC structure.

Unit cell a=5.0627 b=4.9371 c=4.9371 alpha=90.00 beta=90.00 gamma=90.00
Atoms (fractional coordinates):
Sm: 0.5000 0.0000 0.0000
Y: 0.0000 0.0000 0.5000
Y: 0.0000 0.5000 0.0000
Tl: 0.5000 0.5000 0.5000
C: 0.0000 0.0000 0.0000

Summary:
energy relative to the elements = -437 meV/atom
crystal system = tetragonal
N(E_F) = 1.695 states/eV/cell


Entry 3:
Density functional theory data (PBE) for a geometry-optimized Tm4Mg5Sc structure.

Unit cell a=3.7149 b=3.7149 c=18.6893 alpha=90.00 beta=90.00 gamma=90.00
Atoms (fractional coordinates):
Tm: 0.0000 0.0000 0.1947
Tm: 0.0000 0.0000 0.3982
Tm: 0.0000 0.0000 0.6018
Tm: 0.0000 0.0000 0.8053
Mg: 0.5000 0.5000 0.0915
Mg: 0.5000 0.5000 0.2964
Mg: 0.5000 0.5000 0.5000
Mg: 0.5000 0.5000 0.7036
Mg: 0.5000 0.5000 0.9085
Sc: 0.0000 0.0000 0.0000

Summary:
energy relative to the elements = -53 meV/atom
crystal system = tetragonal
N(E_F) = 13.961 states/eV/cell


Entry 4:
Density functional theory data (PBE) for a geometry-optimized NpZn4Pt4 structure.

Unit cell a=5.8087 b=5.8087 c=9.0118 alpha=90.00 beta=90.00 gamma=90.00
Atoms (fractional coordinates):
Np: 0.0000 0.0000 0.0000
Np: 0.5000 0.5000 0.5000
Zn: 0.2204 0.5000 0.9259
Zn: 0.7796 0.5000 0.9259
Zn: 0.5000 0.7796 0.0741
Zn: 0.5000 0.2204 0.0741
Zn: 0.0000 0.7204 0.4259
Zn: 0.0000 0.2796 0.4259
Zn: 0.2796 0.0000 0.5741
Zn: 0.7204 0.0000 0.5741
Pt: 0.5000 0.7621 0.7805
Pt: 0.5000 0.2379 0.7805
Pt: 0.7621 0.5000 0.2195
Pt: 0.2379 0.5000 0.2195
Pt: 0.2621 0.0000 0.2805
Pt: 0.7379 0.0000 0.2805
Pt: 0.0000 0.2621 0.7195
Pt: 0.0000 0.7379 0.7195

Summary:
energy relative to the elements = -384 meV/atom
crystal system = tetragonal
N(E_F) = 29.173 states/eV/cell


Entry 5:
Density functional theory data (PBE) for a geometry-optimized Cu2As2P structure.

Unit cell a=6.3319 b=6.3319 c=6.3319 alpha=144.75 beta=144.75 gamma=50.71
Atoms (fractional coordinates):
Cu: 0.6023 0.6023 0.0000
Cu: 0.3977 0.3977 0.0000
As: 0.2500 0.7500 0.5000
As: 0.7500 0.2500 0.5000
P: 0.0000 0.0000 0.0000

Summary:
energy relative to the elements = 506 meV/atom
crystal system = tetragonal
N(E_F) = 2.756 states/eV/cell


Entry 6:
Density functional theory data (PBE) for a geometry-optimized Mn3As structure.

Unit cell a=2.7261 b=2.7261 c=7.4399 alpha=90.00 beta=90.00 gamma=120.00
Atoms (fractional coordinates):
As: 0.0000 0.0000 0.0000
Mn: 0.0000 0.0000 0.5000
Mn: 0.6667 0.3333 0.2464
Mn: 0.6667 0.3333 0.7536

Summary:
energy relative to the elements = 252 meV/atom
crystal system = hexagonal
N(E_F) = 5.373 states/eV/cell


Entry 7:
Density functional theory data (PBE) for a geometry-optimized Pm5Zn2Ga2 structure.

Unit cell a=7.4769 b=7.9859 c=9.0381 alpha=116.22 beta=90.00 gamma=90.00
Atoms (fractional coordinates):
Pm: 0.0000 0.0000 0.0000
Pm: 0.5000 0.5000 0.0000
Pm: 0.8249 0.8297 0.2796
Pm: 0.1751 0.4499 0.2796
Pm: 0.3249 0.9499 0.2796
Pm: 0.6751 0.3297 0.2796
Pm: 0.1751 0.1703 0.7204
Pm: 0.8249 0.5501 0.7204
Pm: 0.6751 0.0501 0.7204
Pm: 0.3249 0.6703 0.7204
Zn: 0.0000 0.2144 0.4289
Zn: 0.5000 0.7144 0.4289
Zn: 0.0000 0.7856 0.5711
Zn: 0.5000 0.2856 0.5711
Ga: 0.6102 0.8780 0.0000
Ga: 0.3898 0.1220 0.0000
Ga: 0.1102 0.6220 0.0000
Ga: 0.8898 0.3780 0.0000

Summary:
energy relative to the elements = -365 meV/atom
crystal system = orthorhombic
N(E_F) = 12.925 states/eV/cell


Entry 8:
Density functional theory data (PBE) for a geometry-optimized NaRhC2O structure.

Unit cell a=4.0466 b=4.8150 c=4.0466 alpha=90.00 beta=90.00 gamma=90.00
Atoms (fractional coordinates):
Na: 0.0000 0.0000 0.0000
C: 0.0000 0.0000 0.5000
C: 0.5000 0.0000 0.0000
Rh: 0.0000 0.5000 0.0000
O: 0.5000 0.5000 0.5000

Summary:
E_form (uncorrected) = 344 kJ per mole of atoms
crystal system = tetragonal
N(E_F) = 5.295 states/eV/cell


Entry 9:
Density functional theory data (PBE) for a geometry-optimized TlPOs2 structure.

Unit cell a=3.6105 b=2.9365 c=6.6671 alpha=89.54 beta=90.00 gamma=90.00
Atoms (fractional coordinates):
Tl: 0.5000 0.0000 0.5000
P: 0.5000 0.5000 0.0000
Os: 0.0000 0.2510 0.8268
Os: 0.0000 0.7490 0.1732

Summary:
relative energy among the computed polymorphs = 193 meV per atom
energy relative to the elements = 587 meV/atom
crystal system = monoclinic
N(E_F) = 3.120 states/eV/cell


Entry 10:
Density functional theory data (PBE) for a geometry-optimized Sr2ZrVSi structure.

Unit cell a=5.8660 b=4.7295 c=5.8660 alpha=90.00 beta=90.00 gamma=90.00
Atoms (fractional coordinates):
Sr: 0.0000 0.0000 0.5000
Sr: 0.5000 0.0000 0.0000
Si: 0.0000 0.5000 0.0000
Zr: 0.5000 0.5000 0.5000
V: 0.0000 0.0000 0.0000

Summary:
E_form (uncorrected) = 95 kJ per mole of atoms
crystal system = tetragonal
N(E_F) = 10.139 states/eV/cell


Entry 11:
Density functional theory data (PBE) for a geometry-optimized La3Cu4Sn4 structure.

Unit cell a=4.4548 b=4.5843 c=13.3230 alpha=80.38 beta=80.40 gamma=89.99
Atoms (fractional coordinates):
La: 0.1579 0.6520 0.6871
La: 0.8422 0.3480 0.3129
La: 0.0000 0.0000 0.0000
Cu: 0.5943 0.0957 0.8056
Cu: 0.2526 0.2676 0.4980
Cu: 0.7475 0.7325 0.5020
Cu: 0.4057 0.9043 0.1945
Sn: 0.5569 0.5547 0.8894
Sn: 0.4431 0.4454 0.1106
Sn: 0.3020 0.8161 0.3931
Sn: 0.6981 0.1839 0.6069

Summary:
relative energy among the computed polymorphs = 15 meV per atom
energy relative to the elements = -531 meV/atom
crystal system = triclinic
N(E_F) = 5.828 states/eV/cell


Entry 12:
Density functional theory data (PBE) for a geometry-optimized Cs6SnBr8 structure.

Unit cell a=9.3687 b=9.3687 c=9.3687 alpha=69.06 beta=69.06 gamma=69.06
Atoms (fractional coordinates):
Cs: 0.0613 0.4848 0.6967
Cs: 0.3033 0.9387 0.5152
Cs: 0.5152 0.3033 0.9387
Cs: 0.4848 0.6967 0.0613
Cs: 0.6967 0.0613 0.4848
Cs: 0.9387 0.5152 0.3033
Sn: 0.0000 0.0000 0.0000
Br: 0.1599 0.6879 0.9079
Br: 0.0921 0.8401 0.3121
Br: 0.3121 0.0921 0.8401
Br: 0.6564 0.6564 0.6564
Br: 0.3436 0.3436 0.3436
Br: 0.6879 0.9079 0.1599
Br: 0.9079 0.1599 0.6879
Br: 0.8401 0.3121 0.0921

Summary:
E_form (uncorrected) = -152 kJ per mole of atoms
crystal system = trigonal
N(E_F) = 0.000 states/eV/cell


Entry 13:
Density functional theory data (PBE) for a geometry-optimized RbOsRh structure.

Unit cell a=10.6696 b=4.2484 c=8.6487 alpha=90.00 beta=90.00 gamma=90.00
Atoms (fractional coordinates):
Rh: 0.9468 0.2500 0.8636
Rh: 0.5532 0.7500 0.3636
Rh: 0.0532 0.7500 0.1364
Rh: 0.4468 0.2500 0.6364
Os: 0.4527 0.2500 0.3593
Os: 0.0473 0.7500 0.8593
Os: 0.5473 0.7500 0.6407
Os: 0.9527 0.2500 0.1407
Rb: 0.8001 0.2500 0.5054
Rb: 0.6999 0.7500 0.0054
Rb: 0.1999 0.7500 0.4946
Rb: 0.3001 0.2500 0.9946

Summary:
relative energy among the computed polymorphs = 634 meV per atom
energy relative to the elements = 1113 meV/atom
crystal system = orthorhombic
N(E_F) = 10.273 states/eV/cell


Entry 14:
Density functional theory data (PBE) for a geometry-optimized NaRh2O2 structure.

Unit cell a=3.6732 b=3.6732 c=6.1200 alpha=72.54 beta=72.54 gamma=90.00
Atoms (fractional coordinates):
Na: 0.0000 0.0000 0.0000
Rh: 0.7500 0.2500 0.5000
Rh: 0.2500 0.7500 0.5000
O: 0.3654 0.3654 0.2691
O: 0.6346 0.6346 0.7309

Summary:
relative energy among the computed polymorphs = 442 meV per atom
E_form (uncorrected) = -4 kJ per mole of atoms
crystal system = tetragonal
N(E_F) = 5.197 states/eV/cell


Entry 15:
Density functional theory data (PBE) for a geometry-optimized ScTi3Cu structure.

Unit cell a=4.6254 b=4.6254 c=4.6254 alpha=90.00 beta=90.00 gamma=90.00
Atoms (fractional coordinates):
Sc: 0.0000 0.0000 0.0000
Cu: 0.5000 0.5000 0.5000
Ti: 0.0000 0.5000 0.0000
Ti: 0.0000 0.0000 0.5000
Ti: 0.5000 0.0000 0.0000

Summary:
relative energy among the computed polymorphs = 820 meV per atom
energy relative to the elements = 1365 meV/atom
crystal system = cubic
N(E_F) = 7.491 states/eV/cell


Entry 16:
Density functional theory data (PBE) for a geometry-optimized Y2BeSiIr6 structure.

Unit cell a=6.1891 b=6.1890 c=6.1980 alpha=59.94 beta=59.94 gamma=89.97
Atoms (fractional coordinates):
Y: 0.7501 0.2500 0.4999
Y: 0.2500 0.7500 0.5001
Be: 0.5000 0.5000 0.0000
Si: 0.0000 0.0000 0.0000
Ir: 0.2586 0.2586 0.4827
Ir: 0.7414 0.7413 0.0001
Ir: 0.2587 0.7414 0.0000
Ir: 0.7413 0.2586 0.0000
Ir: 0.2586 0.2586 0.9999
Ir: 0.7414 0.7414 0.5173

Summary:
E_form (uncorrected) = -40 kJ per mole of atoms
crystal system = orthorhombic
N(E_F) = 6.247 states/eV/cell


Entry 17:
Density functional theory data (PBE) for a geometry-optimized La3Pr2DyS6 structure.

Unit cell a=7.1018 b=7.1018 c=7.0946 alpha=99.62 beta=99.62 gamma=120.08
Atoms (fractional coordinates):
La: 0.1704 0.8296 0.5000
La: 0.8296 0.1704 0.5000
La: 0.5000 0.5000 0.5000
Pr: 0.3332 0.6668 0.0000
Pr: 0.6668 0.3332 0.0000
Dy: 0.0000 0.0000 0.0000
S: 0.9201 0.5974 0.7596
S: 0.7588 0.7588 0.2440
S: 0.0799 0.4026 0.2404
S: 0.5974 0.9201 0.7596
S: 0.2412 0.2412 0.7560
S: 0.4026 0.0799 0.2404

Summary:
E_form (uncorrected) = -202 kJ per mole of atoms
crystal system = monoclinic
N(E_F) = 5.617 states/eV/cell


Entry 18:
Density functional theory data (PBE) for a geometry-optimized HoRhSe structure.

Unit cell a=7.1101 b=4.0281 c=7.8537 alpha=90.00 beta=90.00 gamma=90.00
Atoms (fractional coordinates):
Se: 0.7578 0.7506 0.3782
Se: 0.2578 0.7506 0.1218
Se: 0.7422 0.2494 0.8782
Se: 0.2422 0.2494 0.6218
Rh: 0.8434 0.7491 0.0612
Rh: 0.3434 0.7491 0.4388
Rh: 0.6566 0.2509 0.5612
Rh: 0.1566 0.2509 0.9388
Ho: 0.9629 0.7496 0.6955
Ho: 0.4629 0.7496 0.8045
Ho: 0.5371 0.2504 0.1955
Ho: 0.0371 0.2504 0.3045

Summary:
E_form (uncorrected) = -107 kJ per mole of atoms
crystal system = monoclinic
N(E_F) = 3.305 states/eV/cell


Entry 19:
Density functional theory data (PBE) for a geometry-optimized Pm12Nd3In5 structure.

Unit cell a=16.1405 b=16.1405 c=16.1405 alpha=109.47 beta=109.47 gamma=109.47
Atoms (fractional coordinates):
Nd: 0.7500 0.3750 0.1250
Nd: 0.8750 0.7500 0.1250
Nd: 0.3750 0.7500 0.6250
Nd: 0.2500 0.1250 0.3750
Nd: 0.8750 0.1250 0.2500
Nd: 0.3750 0.6250 0.2500
Nd: 0.6250 0.3750 0.7500
Nd: 0.1250 0.8750 0.7500
Nd: 0.7500 0.8750 0.6250
Nd: 0.6250 0.2500 0.3750
Nd: 0.1250 0.2500 0.8750
Nd: 0.2500 0.6250 0.8750
In: 0.1250 0.3750 0.2500
In: 0.0000 0.5000 0.0000
In: 0.0000 0.0000 0.0000
In: 0.3750 0.2500 0.1250
In: 0.5000 0.0000 0.5000
In: 0.5000 0.5000 0.0000
In: 0.1250 0.7500 0.3750
In: 0.7500 0.1250 0.8750
In: 0.7500 0.6250 0.3750
In: 0.3750 0.1250 0.7500
In: 0.6250 0.8750 0.2500
In: 0.5000 0.5000 0.5000
In: 0.5000 0.0000 0.0000
In: 0.0000 0.0000 0.5000
In: 0.2500 0.3750 0.6250
In: 0.2500 0.8750 0.1250
In: 0.0000 0.5000 0.5000
In: 0.8750 0.2500 0.6250
In: 0.6250 0.7500 0.8750
In: 0.8750 0.6250 0.7500
Pm: 0.7208 0.1231 0.0527
Pm: 0.3319 0.5527 0.4296
Pm: 0.9473 0.3769 0.2792
Pm: 0.5527 0.2208 0.1231
Pm: 0.5977 0.7208 0.6681
Pm: 0.9473 0.5704 0.1681
Pm: 0.3319 0.7792 0.4023
Pm: 0.0704 0.9023 0.1231
Pm: 0.5704 0.9473 0.6681
Pm: 0.7208 0.5977 0.1681
Pm: 0.7792 0.4473 0.3769
Pm: 0.8319 0.9296 0.0527
Pm: 0.1231 0.7208 0.5527
Pm: 0.3769 0.4296 0.0977
Pm: 0.0977 0.9296 0.3769
Pm: 0.4023 0.1231 0.5704
Pm: 0.0977 0.1681 0.2208
Pm: 0.4473 0.6681 0.0704
Pm: 0.8319 0.9023 0.2792
Pm: 0.1231 0.4023 0.0704
Pm: 0.3769 0.9473 0.7792
Pm: 0.5704 0.6231 0.4023
Pm: 0.9296 0.8319 0.5527
Pm: 0.7792 0.3319 0.9023
Pm: 0.4296 0.3769 0.5977
Pm: 0.0704 0.1681 0.4473
Pm: 0.2208 0.6681 0.0977
Pm: 0.1681 0.0977 0.7208
Pm: 0.6231 0.0527 0.2208
Pm: 0.8769 0.5977 0.9296
Pm: 0.5527 0.3319 0.9296
Pm: 0.5977 0.8769 0.4296
Pm: 0.9023 0.8319 0.7792
Pm: 0.9023 0.0704 0.6231
Pm: 0.8769 0.2792 0.4473
Pm: 0.1681 0.0704 0.9473
Pm: 0.6231 0.5704 0.9023
Pm: 0.4296 0.0527 0.3319
Pm: 0.2792 0.4023 0.8319
Pm: 0.2208 0.5527 0.6231
Pm: 0.9296 0.0977 0.8769
Pm: 0.6681 0.2208 0.5977
Pm: 0.4473 0.7792 0.8769
Pm: 0.0527 0.4296 0.8319
Pm: 0.4023 0.2792 0.3319
Pm: 0.0527 0.6231 0.7208
Pm: 0.6681 0.4473 0.5704
Pm: 0.2792 0.8769 0.9473

Summary:
energy relative to the elements = 475 meV/atom
crystal system = cubic
N(E_F) = 138.998 states/eV/cell


Entry 20:
Density functional theory data (PBE) for a geometry-optimized Cd2MoW structure.

Unit cell a=3.5788 b=3.5788 c=5.6044 alpha=90.00 beta=90.00 gamma=90.00
Atoms (fractional coordinates):
Cd: 0.0000 0.0000 0.0007
Cd: 0.0000 0.0000 0.4993
Mo: 0.5000 0.5000 0.2500
W: 0.5000 0.5000 0.7500

Summary:
relative energy among the computed polymorphs = 601 meV per atom
energy relative to the elements = 892 meV/atom
crystal system = tetragonal
N(E_F) = 2.513 states/eV/cell


Number 1: raw total energy -4.27 eV/atom. Number 2: raw total energy -6.28 eV/atom. Number 3: raw total energy -3.27 eV/atom. Number 4: raw total energy -5.07 eV/atom. Number 5: raw total energy -4.07 eV/atom. Number 6: raw total energy -7.79 eV/atom. Number 7: raw total energy -3.96 eV/atom. Number 8: raw total energy -2.85 eV/atom. Number 9: raw total energy -6.97 eV/atom. Number 10: raw total energy -4.30 eV/atom. Number 11: raw total energy -4.82 eV/atom. Number 12: raw total energy -3.08 eV/atom. Number 13: raw total energy -5.40 eV/atom. Number 14: raw total energy -5.23 eV/atom. Number 15: raw total energy -5.46 eV/atom. Number 16: raw total energy -7.94 eV/atom. Number 17: raw total energy -6.57 eV/atom. Number 18: raw total energy -6.25 eV/atom. Number 19: raw total energy -3.78 eV/atom. Number 20: raw total energy -5.51 eV/atom.